[1]
Compound: CaAc2PmCo
Source: Alexandria
Functional: GGA-PBE
Structure: relaxed

## Properties
E_tot   -4.418 eV/atom
Formation enthalpy at 0 K   -0.0027 eV per atom
Total moment   0.0 μB/f.u.
D(E_F)   1.13 states/eV/atom

Geometry as POSCAR:
```
CaAc2PmCo
1.0
5.745 0.000 0.000
0.000 5.745 0.000
0.000 0.000 5.517
Ca Ac Pm Co
1 2 1 1
direct
0.000 0.000 0.000
0.000 0.500 0.500
0.500 0.000 0.500
0.500 0.500 0.000
0.500 0.500 0.500
```



[2]
Compound: CaAcPr2Co
Source: Alexandria
Functional: GGA-PBE
Structure: relaxed

## Properties
E_tot   -4.535 eV/atom
Formation enthalpy at 0 K   0.0198 eV per atom
Total moment   0.0 μB/f.u.
D(E_F)   1.22 states/eV/atom

Geometry as POSCAR:
```
CaAcPr2Co
1.0
5.582 0.000 0.000
0.000 5.582 0.000
0.000 0.000 5.676
Ca Ac Pr Co
1 1 2 1
direct
0.000 0.000 0.000
0.500 0.500 0.000
0.000 0.500 0.500
0.500 0.000 0.500
0.500 0.500 0.500
```



[3]
Compound: CaAc6CoPt
Source: Alexandria
Functional: GGA-PBE
Structure: relaxed

## Properties
E_tot   -4.515 eV/atom
Formation enthalpy at 0 K   -0.0925 eV per atom
Total moment   0.0 μB/f.u.
D(E_F)   1.65 states/eV/atom

Geometry as POSCAR:
```
CaAc6CoPt
1.0
7.733 0.000 0.000
-3.867 6.697 0.000
0.000 0.000 7.392
Ca Ac Co Pt
1 6 1 1
direct
0.000 0.000 0.000
0.015 0.403 0.265
0.015 0.612 0.735
0.388 0.403 0.735
0.388 0.985 0.265
0.597 0.612 0.265
0.597 0.985 0.735
0.333 0.667 0.500
0.667 0.333 0.500
```